Entry 1:
Crystalline Tl2BiO2 at its relaxed geometry. Source: Alexandria via LeMat-Bulk, functional PBE-GGA.

The space group is P4/mbm (No. 127) and the conventional cell measures 7.844, 7.844 and 3.244 Å, with angles of 90.00, 90.00 and 90.00 degrees. The distinct sites, in fractional coordinates, are Tl at (0.131, 0.369, 0.000), Bi at (0.000, 0.000, 0.000) and O at (0.123, 0.623, 0.500).

For the energy relative to the elements, uncorrected, the calculation gives 0.13 eV per formula unit. As for the total magnetization: 0.00 μB per cell. As for the distance to the lowest polymorph of the same formula: 0.2301 eV per atom. The density of states at the Fermi level comes out at 6.33 states/eV/cell. The density comes out at 10.811 g/cm³.

=====

Entry 2:
Crystalline MnTe2Mo at its relaxed geometry. Source: Alexandria via LeMat-Bulk, functional PBE-GGA.

The space group is C2/m (No. 12) and the conventional cell measures 8.364, 3.516 and 5.861 Å, with angles of 90.00, 99.82 and 90.00 degrees. The distinct sites, in fractional coordinates, are Mn at (0.000, 0.000, 0.000), Te at (0.229, 0.000, 0.732) and Mo at (0.000, 0.500, 0.500).

For the energy relative to the elements, uncorrected, the calculation gives 1.39 eV per formula unit. As for the total magnetization: 7.93 μB per cell. As for the distance to the lowest polymorph of the same formula: 0.3958 eV per atom. The density of states at the Fermi level comes out at 6.66 states/eV/cell. The density comes out at 7.941 g/cm³.

=====

Entry 3:
Crystalline Tc2HgGe2 at its relaxed geometry. Source: Alexandria via LeMat-Bulk, functional PBE-GGA.

The space group is P4/mbm (No. 127) and the conventional cell measures 7.406, 7.406 and 2.952 Å, with angles of 90.00, 90.00 and 90.00 degrees. The distinct sites, in fractional coordinates, are Tc at (0.149, 0.351, 0.000), Hg at (0.000, 0.000, 0.500) and Ge at (0.143, 0.643, 0.500).

As for the total magnetization: 0.00 μB per cell. As for the distance to the lowest polymorph of the same formula: 0.1574 eV per atom. The formation energy comes out at 0.232 eV per atom. The density of states at the Fermi level comes out at 7.35 states/eV/cell. The density comes out at 11.115 g/cm³.

=====

- What is the formula in the second record?
  MnTe2Mo